Computed, not measured: an optimized crystal structure of LiCoCuAs at the PBE level of DFT.

space group	No. 216
offset from the most stable computed form	0.000	eV/atom
crystal system	cubic

Cell and atoms, written as POSCAR:
```
LiCoCuAs
1.0
0.000 2.861 2.861
2.861 0.000 2.861
2.861 2.861 0.000
Li Co Cu As
1 1 1 1
Cartesian
0.000 0.000 0.000 Li
2.861 2.861 2.861 Co
4.292 4.292 4.292 Cu
1.431 1.431 1.431 As
```

Computed, not measured: an optimized crystal structure of CuSn2Mo at the PBE level of DFT.

space group	No. 216
uncorrected energy	-19.7	eV per formula unit
crystal system	cubic

Cell and atoms, written as POSCAR:
```
CuSn2Mo
1.0
0.000 3.371 3.371
3.371 0.000 3.371
3.371 3.371 0.000
Cu Sn Mo
1 2 1
Cartesian
0.000 0.000 0.000 Cu
3.371 3.371 3.371 Sn
5.056 5.056 5.056 Sn
1.685 1.685 1.685 Mo
```